PuHfIn6 after structural relaxation, computed with PBE-GGA.

The value obtained for the total energy is -5.245 eV per atom. Its energy relative to the elements is -155 meV per atom. As for the volume: 23.82 Å³/atom. The magnetic moment is 5.69 Bohr magnetons per cell.

The space group is P4/mmm (No. 123) and the conventional cell measures 4.5713, 4.5713 and 9.1188 Å, with angles of 90.00, 90.00 and 90.00 degrees. The inequivalent atoms are Pu at (0.0000, 0.0000, 0.0000), Hf at (0.0000, 0.0000, 0.5000), In at (0.0000, 0.5000, 0.2570), In at (0.5000, 0.5000, 0.0000) and In at (0.5000, 0.5000, 0.5000).